ScPPtO: relaxed, GGA-PBE.

Calculated values
crystal system: tetragonal
SG: P4/nmm (129)
size of the total moment: 0.0 μB/cell
relative energy among the computed polymorphs: 39 meV per atom

abc: 3.9999 3.9999 7.3527
angles: 90.00 90.00 90.00
Fractional positions:
Sc 0.2500 0.2500 0.1112
Sc 0.7500 0.7500 0.8888
P 0.2500 0.2500 0.6814
P 0.7500 0.7500 0.3186
Pt 0.2500 0.7500 0.5000
Pt 0.7500 0.2500 0.5000
O 0.2500 0.7500 0.0000
O 0.7500 0.2500 0.0000